Computed, not measured: a relaxed structure of RbAgTeIrS2 at the PBE level of DFT.

The structure in POSCAR format:
```
RbAgTeIrS2
1.0
-4.000 5.905 4.627
2.516 -3.746 -7.205
-8.510 -5.798 0.043
S Te Ir Rb Ag
4 2 2 2 2
direct
0.096 0.904 0.482 S
0.904 0.096 0.982 S
0.904 0.096 0.518 S
0.096 0.904 0.018 S
0.439 0.561 0.250 Te
0.561 0.439 0.750 Te
0.500 0.500 0.000 Ir
0.500 0.500 0.500 Ir
0.749 0.251 0.250 Rb
0.251 0.749 0.750 Rb
0.078 0.922 0.250 Ag
0.922 0.078 0.750 Ag
```

Computed properties:
crystal system: orthorhombic

Computed, not measured: a relaxed structure of RbAgTe2IrS at the PBE level of DFT.

The structure in POSCAR format:
```
RbAgTe2IrS
1.0
-2.455 0.684 -7.966
-1.625 -0.659 8.178
0.106 10.133 0.837
Ag Rb Te Ir S
2 2 4 2 2
direct
0.461 0.539 0.750 Ag
0.539 0.461 0.250 Ag
0.238 0.762 0.250 Rb
0.762 0.238 0.750 Rb
0.610 0.390 0.490 Te
0.390 0.610 0.990 Te
0.390 0.610 0.510 Te
0.610 0.390 0.010 Te
0.000 0.000 0.000 Ir
0.000 0.000 0.500 Ir
0.053 0.947 0.750 S
0.947 0.053 0.250 S
```

Computed properties:
crystal system: orthorhombic

Computed, not measured: a relaxed structure of RbAgSb2Ir at the PBE level of DFT.

The structure in POSCAR format:
```
RbAgSb2Ir
1.0
-4.280 -6.415 0.310
-7.004 -1.360 2.944
4.331 4.629 -4.404
Sb Ir Ag Rb
2 1 1 1
direct
0.105 0.605 0.500 Sb
0.395 0.895 0.500 Sb
0.000 0.000 0.000 Ir
0.500 0.500 0.000 Ag
0.750 0.250 0.500 Rb
```

Computed properties:
crystal system: tetragonal

Computed, not measured: a relaxed structure of RbAg3IrSe4 at the PBE level of DFT.

The structure in POSCAR format:
```
RbAg3IrSe4
1.0
6.528 0.000 0.000
0.000 6.528 0.000
0.000 0.000 6.528
Se Rb Ir Ag
4 1 1 3
direct
0.713 0.287 0.713 Se
0.287 0.713 0.713 Se
0.287 0.287 0.287 Se
0.713 0.713 0.287 Se
0.000 0.000 0.000 Rb
0.500 0.500 0.500 Ir
0.500 0.000 0.500 Ag
0.000 0.500 0.500 Ag
0.500 0.500 0.000 Ag
```

Computed properties:
crystal system: cubic

no.,raw total energy (eV/atom)
1,-4.315
2,-4.026
3,-4.252
4,-3.700